TaRe2Tc | PBE | relaxed

ΔE to the lowest computed polymorph: 199 meV per atom
total energy: -11.650 eV/atom
D(E_F): 4.29 states/eV/f.u.
calculated formation energy: 0.128 eV/atom
space group: R3m, No. 160

```
TaRe2Tc
1.0
1.394 0.805 9.367
-1.394 0.805 9.367
0.000 -1.609 9.367
Ta Re Tc
1 2 1
Cartesian
0.000 0.000 0.000
0.000 0.000 6.887
0.000 0.000 14.034
0.000 0.000 21.193
```